Here is a relaxed structure of InI2NO from Alexandria via LeMat-Bulk. Energies are from GGA-PBE.

**Formation energy from raw total energies**: 0.971 eV per atom
**Distance to the lowest polymorph of the same formula**: 1.06 eV/f.u.
**Space-group type**: No. 123

```
InI2NO
1.0
4.855 0.000 0.000
0.000 4.855 0.000
0.000 0.000 4.342
In I N O
1 2 1 1
Cartesian
0.000 0.000 0.000
0.000 2.427 2.171
2.427 0.000 2.171
2.427 2.427 2.171
2.427 2.427 0.000
```


Here is a relaxed structure of Rb3NiBr8 from Alexandria via LeMat-Bulk. Energies are from GGA-PBE.

**Formation energy from raw total energies**: -0.704 eV per atom
**Space-group type**: No. 139

```
Rb3NiBr8
1.0
-4.284 4.284 5.847
4.284 -4.284 5.847
4.284 4.284 -5.847
Rb Ni Br
3 1 8
Cartesian
0.000 0.000 0.000
4.284 0.000 2.923
0.000 4.284 2.923
0.000 0.000 5.847
2.461 2.461 -1.479
1.823 -1.823 4.368
2.461 2.461 1.479
1.823 -1.823 7.326
-1.823 1.823 4.368
1.823 1.823 4.368
-1.823 1.823 7.326
1.823 1.823 7.326
```


Here is a relaxed structure of HfMg2 from Alexandria via LeMat-Bulk. Energies are from GGA-PBE.

**Space-group type**: No. 63
**Calculated formation energy**: 0.21 eV per atom

```
HfMg2
1.0
1.548 -8.286 0.000
1.548 8.286 0.000
0.000 0.000 5.152
Hf Mg
2 4
Cartesian
1.548 6.513 3.864
1.548 -6.513 1.288
1.548 4.601 1.288
1.548 0.923 3.864
1.548 -0.923 1.288
1.548 -4.601 3.864
```


Here is a relaxed structure of LaTcCl2 from Alexandria via LeMat-Bulk. Energies are from GGA-PBE.

**Formation energy from raw total energies**: -0.382 eV per atom
**Distance to the lowest polymorph of the same formula**: 1.51 eV/f.u.
**Space-group type**: No. 166

```
LaTcCl2
1.0
1.684 0.972 9.082
-1.684 0.972 9.082
0.000 -1.945 9.082
La Tc Cl
1 1 2
Cartesian
0.000 0.000 0.000
0.000 0.000 13.623
0.000 0.000 11.241
0.000 0.000 16.005
```


E values, unit eV per atom, following the record order: -2.85; -2.54; -4.17; -5.13.
N(E_F) values, unit states/eV per cell, following the record order: 3.32; 7.20; 5.41; 2.88.